(1)
Computed, not measured: a relaxed structure of RhPb5 at the PBEsol level of DFT.

Cell and atoms, written as extended XYZ:
```
6
Lattice="5.948 -1.685 0.000 5.948 1.685 0.000 -3.296 0.000 7.794" Properties=species:S:1:pos:R:3 pbc="T T T"
Rh 0.000 0.000 0.000
Pb -1.643 0.000 3.899
Pb 1.627 0.000 5.565
Pb 3.931 0.000 1.046
Pb 4.672 0.000 6.752
Pb 6.976 0.000 2.229
```

- Spin magnetization: 0.000 μB per formula unit
- Calculated volume: 156.3 Å³/cell
- Total energy: -27.842 eV/cell
- ΔE to the lowest computed polymorph: 0.023 eV/atom

---

(2)
Computed, not measured: a relaxed structure of LiCd2Pt at the PBEsol level of DFT.

Cell and atoms, written as extended XYZ:
```
4
Lattice="2.907 0.000 0.000 0.000 3.958 0.000 0.000 0.000 5.856" Properties=species:S:1:pos:R:3 pbc="T T T"
Li 0.000 0.000 0.000
Cd 1.453 1.979 1.472
Cd 1.453 1.979 4.384
Pt 0.000 0.000 2.928
```

- Spin magnetization: 0.000 μB per formula unit
- Calculated volume: 67.4 Å³/cell
- Total energy: -12.685 eV/cell
- ΔE to the lowest computed polymorph: 0.086 eV/atom

---

(3)
Computed, not measured: a relaxed structure of K2AgAuBr6 at the PBEsol level of DFT.

Cell and atoms, written as extended XYZ:
```
10
Lattice="0.000 5.282 5.282 5.282 0.000 5.282 5.282 5.282 0.000" Properties=species:S:1:pos:R:3 pbc="T T T"
K 2.641 2.641 2.641
K 7.923 7.923 7.923
Ag 0.000 0.000 0.000
Au 5.282 5.282 5.282
Br 5.282 5.282 2.657
Br 5.282 2.657 5.282
Br 7.908 5.282 5.282
Br 2.657 5.282 5.282
Br 5.282 7.908 5.282
Br 5.282 5.282 7.908
```

- Raw formation energy: -8.063 eV per formula unit
- Spin magnetization: 0.000 μB per formula unit
- Calculated volume: 294.8 Å³/cell
- Total energy: -28.785 eV/cell